Compound: NaMg2ScAg
Source: Alexandria via LeMat-Bulk
Functional: PBE
Structure: optimized geometry

## Properties
For the density, the calculation gives 1.96 g cm⁻³. Its space-group type is P4/mmm (123). As for the electronic total energy: -8.470 eV per formula unit. The value obtained for the spin magnetization is 0.00 μB per formula unit.

Unit cell a=5.6861 b=5.8707 c=5.6861 alpha=90.00 beta=90.00 gamma=90.00
Sites, in units of the cell vectors:
1 Sc 0.0000 0.0000 0.0000
2 Na 0.0000 0.5000 0.0000
3 Mg 0.5000 0.0000 0.0000
4 Mg 0.0000 0.0000 0.5000
5 Ag 0.5000 0.5000 0.5000

Compound: BeAlFe
Source: Alexandria via LeMat-Bulk
Functional: PBE
Structure: optimized geometry

## Properties
For the density, the calculation gives 4.18 g cm⁻³. Its space-group type is F-43m (216). As for the electronic total energy: -15.436 eV per formula unit. The value obtained for the spin magnetization is 1.01 μB per formula unit.

Unit cell a=3.7214 b=3.7214 c=3.7214 alpha=60.00 beta=60.00 gamma=60.00
Last column: magnetic moment on the atom in μB.
Sites, in units of the cell vectors:
1 Al 0.5000 0.5000 0.5000  -0.02
2 Be 0.7500 0.7500 0.7500  -0.06
3 Fe 0.0000 0.0000 0.0000  1.12

Compound: KTlP2
Source: Alexandria via LeMat-Bulk
Functional: PBE
Structure: optimized geometry

## Properties
For the density, the calculation gives 4.42 g cm⁻³. Its space-group type is Imm2 (44). As for the electronic total energy: -14.870 eV per formula unit. The value obtained for the spin magnetization is 0.00 μB per formula unit.

Unit cell a=6.8461 b=6.8461 c=6.8461 alpha=151.36 beta=131.35 gamma=57.43
Sites, in units of the cell vectors:
1 K 0.2065 0.7065 0.5000
2 P 0.8484 0.3484 0.5000
3 P 0.9690 0.9690 0.0000
4 Tl 0.4760 0.4760 0.0000

Compound: ZnRu2WAu
Source: Alexandria via LeMat-Bulk
Functional: PBE
Structure: optimized geometry

## Properties
For the density, the calculation gives 10.22 g cm⁻³. Its space-group type is P4/mmm (123). As for the electronic total energy: -28.786 eV per formula unit. The value obtained for the spin magnetization is 0.00 μB per formula unit.

Unit cell a=4.6472 b=4.8760 c=4.6472 alpha=90.00 beta=90.00 gamma=90.00
Sites, in units of the cell vectors:
1 Ru 0.5000 0.0000 0.0000
2 Ru 0.0000 0.0000 0.5000
3 Zn 0.0000 0.5000 0.0000
4 Au 0.5000 0.5000 0.5000
5 W 0.0000 0.0000 0.0000

Compound: Na2BeGe2
Source: Alexandria via LeMat-Bulk
Functional: PBE
Structure: optimized geometry

## Properties
For the density, the calculation gives 3.40 g cm⁻³. Its space-group type is P4/mbm (127). As for the electronic total energy: -15.153 eV per formula unit. The value obtained for the spin magnetization is 0.00 μB per formula unit.

Unit cell a=6.2654 b=6.2654 c=4.9835 alpha=90.00 beta=90.00 gamma=90.00
Sites, in units of the cell vectors:
1 Na 0.3282 0.1718 0.5000
2 Ge 0.1440 0.3560 0.0000
3 Ge 0.8560 0.6440 0.0000
4 Na 0.6718 0.8282 0.5000
5 Be 0.5000 0.5000 0.0000
6 Ge 0.6440 0.1440 0.0000
7 Ge 0.3560 0.8560 0.0000
8 Na 0.1718 0.6718 0.5000
9 Be 0.0000 0.0000 0.0000
10 Na 0.8282 0.3282 0.5000

Compound: BaNa2HPd
Source: Alexandria via LeMat-Bulk
Functional: PBE
Structure: optimized geometry

## Properties
For the density, the calculation gives 4.08 g cm⁻³. Its space-group type is P4/mmm (123). As for the electronic total energy: -14.117 eV per formula unit. The value obtained for the spin magnetization is 0.00 μB per formula unit.

Unit cell a=4.5978 b=4.5978 c=5.6036 alpha=90.00 beta=90.00 gamma=90.00
Sites, in units of the cell vectors:
1 H 0.0000 0.0000 0.0000
2 Na 0.0000 0.5000 0.0000
3 Ba 0.0000 0.0000 0.5000
4 Pd 0.5000 0.5000 0.5000
5 Na 0.5000 0.0000 0.0000

Compound: Th2Cu3Si4
Source: Alexandria via LeMat-Bulk
Functional: PBE
Structure: optimized geometry

## Properties
For the density, the calculation gives 8.11 g cm⁻³. As for the formation energy without anion corrections: -393 meV per atom. Its space-group type is Cmce (64). As for the electronic total energy: -52.360 eV per formula unit. The value obtained for the spin magnetization is 0.00 μB per formula unit.

Unit cell a=5.6640 b=7.4612 c=7.9528 alpha=90.00 beta=110.86 gamma=90.00
Sites, in units of the cell vectors:
1 Si 0.3171 0.4779 0.6343
2 Cu 0.0000 0.0000 0.0000
3 Si 0.3046 0.2500 0.1093
4 Si 0.1829 0.9779 0.3657
5 Th 0.8867 0.4081 0.7734
6 Si 0.1954 0.7500 0.8907
7 Cu 0.0336 0.7500 0.5672
8 Th 0.1133 0.5919 0.2266
9 Cu 0.4664 0.2500 0.4328
10 Cu 0.5000 0.5000 0.0000
11 Si 0.6829 0.5221 0.3657
12 Si 0.8046 0.2500 0.1093
13 Si 0.6954 0.7500 0.8907
14 Cu 0.9664 0.2500 0.4328
15 Cu 0.5336 0.7500 0.5672
16 Th 0.6133 0.9081 0.2266
17 Si 0.8171 0.0221 0.6343
18 Th 0.3867 0.0919 0.7734

Compound: Ba2CoAg
Source: Alexandria via LeMat-Bulk
Functional: PBE
Structure: optimized geometry

## Properties
For the density, the calculation gives 4.71 g cm⁻³. Its space-group type is Imm2 (44). As for the electronic total energy: -12.771 eV per formula unit. The value obtained for the spin magnetization is 0.77 μB per formula unit.

Unit cell a=8.2523 b=8.2523 c=8.2523 alpha=147.84 beta=148.56 gamma=45.60
Last column: magnetic moment on the atom in μB.
Sites, in units of the cell vectors:
1 Co 0.4088 0.4088 0.0000  1.35
2 Ba 0.7579 0.2579 0.5000  -0.08
3 Ag 0.3335 0.8335 0.5000  0.00
4 Ba 0.9997 0.9997 0.0000  -0.08

Compound: CuPdN2
Source: Alexandria via LeMat-Bulk
Functional: PBE
Structure: optimized geometry

## Properties
For the density, the calculation gives 6.85 g cm⁻³. As for the formation energy without anion corrections: 910 meV per atom. Its space-group type is R-3m (166). As for the electronic total energy: -22.301 eV per formula unit. The value obtained for the spin magnetization is 0.00 μB per formula unit.

Unit cell a=6.0782 b=6.0782 c=6.0782 alpha=29.43 beta=29.43 gamma=29.43
Sites, in units of the cell vectors:
1 Cu 0.0000 0.0000 0.0000
2 N 0.1044 0.1044 0.1044
3 Pd 0.5000 0.5000 0.5000
4 N 0.8956 0.8956 0.8956

Compound: Dy2YCu2Ge2
Source: Alexandria via LeMat-Bulk
Functional: PBE
Structure: optimized geometry

## Properties
For the density, the calculation gives 7.36 g cm⁻³. Its space-group type is R-3m (166). As for the electronic total energy: -36.623 eV per formula unit. The value obtained for the spin magnetization is 0.00 μB per formula unit.

Unit cell a=4.1895 b=4.1895 c=10.4657 alpha=78.45 beta=78.45 gamma=60.00
Sites, in units of the cell vectors:
1 Cu 0.3942 0.3942 0.8175
2 Y 0.0000 0.0000 0.0000
3 Ge 0.2701 0.2701 0.1898
4 Ge 0.7299 0.7299 0.8102
5 Cu 0.6058 0.6058 0.1825
6 Dy 0.8784 0.8784 0.3649
7 Dy 0.1216 0.1216 0.6351

Compound: Li3UCr2Se6
Source: Alexandria via LeMat-Bulk
Functional: PBE
Structure: optimized geometry

## Properties
For the density, the calculation gives 5.71 g cm⁻³. As for the formation energy without anion corrections: -963 meV per atom. Its space-group type is C2/m (12). As for the electronic total energy: -68.737 eV per formula unit. The value obtained for the spin magnetization is 9.00 μB per formula unit.

Unit cell a=6.6035 b=6.6035 c=6.8041 alpha=99.29 beta=99.29 gamma=119.97
Last column: magnetic moment on the atom in μB.
Sites, in units of the cell vectors:
1 Li 0.5000 0.5000 0.5000  0.00
2 Li 0.1632 0.8368 0.5000  0.00
3 Se 0.5661 0.9204 0.7611  -0.09
4 Se 0.2746 0.2746 0.7602  -0.09
5 Cr 0.3330 0.6670 0.0000  3.30
6 Se 0.0796 0.4339 0.2389  -0.09
7 Li 0.8368 0.1632 0.5000  0.00
8 Cr 0.6670 0.3330 0.0000  3.30
9 Se 0.4339 0.0796 0.2389  -0.09
10 U 0.0000 0.0000 0.0000  2.23
11 Se 0.9204 0.5661 0.7611  -0.09
12 Se 0.7254 0.7254 0.2398  -0.09

Compound: DyMgGa2Pt4
Source: Alexandria via LeMat-Bulk
Functional: PBE
Structure: optimized geometry

## Properties
For the density, the calculation gives 13.25 g cm⁻³. Its space-group type is R-3m (166). As for the electronic total energy: -43.269 eV per formula unit. The value obtained for the spin magnetization is 0.00 μB per formula unit.

Unit cell a=4.3565 b=4.3565 c=8.8019 alpha=75.67 beta=75.67 gamma=60.00
Sites, in units of the cell vectors:
1 Ga 0.2443 0.2443 0.2671
2 Ga 0.7557 0.7557 0.7329
3 Pt 0.3983 0.3983 0.8050
4 Pt 0.6017 0.6017 0.1950
5 Dy 0.0000 0.0000 0.0000
6 Pt 0.1305 0.1305 0.6085
7 Pt 0.8695 0.8695 0.3915
8 Mg 0.5000 0.5000 0.5000

Compound: K5RbHg3
Source: Alexandria via LeMat-Bulk
Functional: PBE
Structure: optimized geometry

## Properties
For the density, the calculation gives 3.02 g cm⁻³. Its space-group type is C2/m (12). As for the electronic total energy: -8.411 eV per formula unit. The value obtained for the spin magnetization is 0.00 μB per formula unit.

Unit cell a=9.0579 b=9.0579 c=13.6350 alpha=101.25 beta=116.56 gamma=91.91
Sites, in units of the cell vectors:
1 Hg 0.2515 0.9970 0.2486
2 K 0.7320 0.7320 0.0000
3 Hg 0.6678 0.5243 0.1920
4 K 0.3288 0.7382 0.0670
5 K 0.9597 0.2164 0.6478
6 Rb 0.0128 0.7329 0.7457
7 Rb 0.9872 0.2671 0.2543
8 K 0.4313 0.6881 0.6478
9 K 0.3898 0.1914 0.5812
10 K 0.5687 0.3119 0.3522
11 Hg 0.7485 0.0030 0.7514
12 Hg 0.0000 0.5000 0.5000
13 Hg 0.0000 0.0000 0.0000
14 K 0.0403 0.7836 0.3522
15 K 0.2680 0.2680 0.0000
16 K 0.6712 0.2618 0.9330
17 Hg 0.3322 0.4757 0.8080
18 K 0.6102 0.8086 0.4188

Compound: LaCe2Ge
Source: Alexandria via LeMat-Bulk
Functional: PBE
Structure: optimized geometry

## Properties
For the density, the calculation gives 7.52 g cm⁻³. Its space-group type is P2_1/m (11). As for the electronic total energy: -23.272 eV per formula unit. The value obtained for the spin magnetization is 0.31 μB per formula unit.

Unit cell a=4.3642 b=4.4407 c=11.3947 alpha=100.33 beta=90.00 gamma=90.00
Last column: magnetic moment on the atom in μB.
Sites, in units of the cell vectors:
1 Ce 0.2500 0.6071 0.1199  0.02
2 Ce 0.7500 0.0089 0.1203  0.01
3 La 0.2500 0.2977 0.6065  0.11
4 Ce 0.2500 0.9911 0.8797  0.01
5 Ge 0.7500 0.8209 0.6810  -0.01
6 Ce 0.7500 0.3929 0.8801  0.02
7 Ge 0.2500 0.1791 0.3190  -0.01
8 La 0.7500 0.7023 0.3935  0.11

Compound: Zn2IrBr
Source: Alexandria via LeMat-Bulk
Functional: PBE
Structure: optimized geometry

## Properties
For the density, the calculation gives 6.39 g cm⁻³. As for the formation energy without anion corrections: 366 meV per atom. Its space-group type is I-42d (122). As for the electronic total energy: -11.618 eV per formula unit. The value obtained for the spin magnetization is 0.00 μB per formula unit.

Unit cell a=5.9737 b=5.9737 c=7.2312 alpha=65.60 beta=65.60 gamma=90.00
Sites, in units of the cell vectors:
1 Zn 0.6688 0.1250 0.2500
2 Zn 0.8750 0.9188 0.7500
3 Ir 0.0000 0.0000 0.0000
4 Zn 0.3750 0.3312 0.7500
5 Zn 0.0812 0.6250 0.2500
6 Br 0.5000 0.5000 0.0000
7 Ir 0.7500 0.2500 0.5000
8 Br 0.2500 0.7500 0.5000

Compound: MnSb3S8
Source: Alexandria via LeMat-Bulk
Functional: PBE
Structure: optimized geometry

## Properties
For the density, the calculation gives 3.41 g cm⁻³. As for the formation energy without anion corrections: -243 meV per atom. Its space-group type is C2/m (12). As for the electronic total energy: -57.475 eV per formula unit. The value obtained for the spin magnetization is 0.04 μB per formula unit.

Unit cell a=7.2817 b=7.2850 c=8.3245 alpha=116.18 beta=90.00 gamma=119.98
Last column: magnetic moment on the atom in μB.
Sites, in units of the cell vectors:
1 Mn 0.0000 0.0000 0.0000  0.15
2 S 0.2591 0.5182 0.7787  -0.01
3 S 0.2115 0.4231 0.1871  -0.01
4 S 0.7409 0.4818 0.2213  -0.01
5 S 0.2345 0.0228 0.8129  -0.01
6 S 0.7885 0.5769 0.8129  -0.01
7 Sb 0.5000 0.5000 0.0000  -0.01
8 S 0.2117 0.9772 0.1871  -0.01
9 Sb 0.5000 0.0000 0.0000  -0.01
10 S 0.7655 0.9772 0.1871  -0.01
11 S 0.7883 0.0228 0.8129  -0.01
12 Sb 0.0000 0.5000 0.0000  -0.01

Compound: Pu12OsRu6
Source: Alexandria via LeMat-Bulk
Functional: PBE
Structure: optimized geometry

## Properties
For the density, the calculation gives 16.59 g cm⁻³. Its space-group type is R-3 (148). As for the electronic total energy: -239.133 eV per formula unit. The value obtained for the spin magnetization is 0.99 μB per formula unit.

Unit cell a=7.2408 b=7.2408 c=7.2408 alpha=96.07 beta=96.07 gamma=96.07
Last column: magnetic moment on the atom in μB.
Sites, in units of the cell vectors:
1 Pu 0.6002 0.1743 0.4768  4.60
2 Pu 0.6014 0.9127 0.8424  -4.49
3 Ru 0.2473 0.1063 0.7595  0.00
4 Pu 0.1743 0.4768 0.6002  4.60
5 Ru 0.8937 0.2405 0.7527  0.00
6 Pu 0.3998 0.8257 0.5232  4.60
7 Os 0.0000 0.0000 0.0000  0.38
8 Ru 0.2405 0.7527 0.8937  0.00
9 Pu 0.0873 0.1576 0.3986  -4.49
10 Ru 0.7527 0.8937 0.2405  0.00
11 Ru 0.1063 0.7595 0.2473  0.00
12 Pu 0.8424 0.6014 0.9127  -4.49
13 Pu 0.1576 0.3986 0.0873  -4.49
14 Pu 0.8257 0.5232 0.3998  4.60
15 Pu 0.3986 0.0873 0.1576  -4.49
16 Ru 0.7595 0.2473 0.1063  0.00
17 Pu 0.4768 0.6002 0.1743  4.60
18 Pu 0.5232 0.3998 0.8257  4.60
19 Pu 0.9127 0.8424 0.6014  -4.49

Compound: Si2PtRh2
Source: Alexandria via LeMat-Bulk
Functional: PBE
Structure: optimized geometry

## Properties
For the density, the calculation gives 11.05 g cm⁻³. As for the formation energy without anion corrections: -674 meV per atom. Its space-group type is P4/mbm (127). As for the electronic total energy: -34.960 eV per formula unit. The value obtained for the spin magnetization is 0.00 μB per formula unit.

Unit cell a=6.9773 b=6.9773 c=2.8230 alpha=90.00 beta=90.00 gamma=90.00
Sites, in units of the cell vectors:
1 Pt 0.0000 0.0000 0.0000
2 Pt 0.5000 0.5000 0.0000
3 Rh 0.6429 0.8571 0.5000
4 Si 0.1535 0.3465 0.0000
5 Si 0.8465 0.6535 0.0000
6 Rh 0.8571 0.3571 0.5000
7 Rh 0.1429 0.6429 0.5000
8 Rh 0.3571 0.1429 0.5000
9 Si 0.3465 0.8465 0.0000
10 Si 0.6535 0.1535 0.0000

Compound: Zr2P2Cl
Source: Alexandria via LeMat-Bulk
Functional: PBE
Structure: optimized geometry

## Properties
For the density, the calculation gives 5.06 g cm⁻³. As for the formation energy without anion corrections: -1203 meV per atom. Its space-group type is P4/mbm (127). As for the electronic total energy: -35.776 eV per formula unit. The value obtained for the spin magnetization is 0.00 μB per formula unit.

Unit cell a=7.2858 b=7.2858 c=3.4605 alpha=90.00 beta=90.00 gamma=90.00
Sites, in units of the cell vectors:
1 P 0.1345 0.6345 0.5000
2 Cl 0.5000 0.5000 0.0000
3 Zr 0.6543 0.1543 0.0000
4 P 0.3655 0.1345 0.5000
5 P 0.6345 0.8655 0.5000
6 P 0.8655 0.3655 0.5000
7 Cl 0.0000 0.0000 0.0000
8 Zr 0.1543 0.3457 0.0000
9 Zr 0.8457 0.6543 0.0000
10 Zr 0.3457 0.8457 0.0000

Compound: Ca3Tm3MgTe8
Source: Alexandria via LeMat-Bulk
Functional: PBE
Structure: optimized geometry

## Properties
For the density, the calculation gives 5.80 g cm⁻³. As for the formation energy without anion corrections: -1367 meV per atom. Its space-group type is R-3m (166). As for the electronic total energy: -66.646 eV per formula unit. The value obtained for the spin magnetization is 0.00 μB per formula unit.

Unit cell a=8.7038 b=8.7038 c=8.8558 alpha=119.43 beta=90.00 gamma=120.00
Sites, in units of the cell vectors:
1 Mg 0.0000 0.0000 0.5000
2 Ca 0.0000 0.0000 0.0000
3 Tm 0.0000 0.5000 0.5000
4 Te 0.7468 0.4935 0.7403
5 Te 0.2443 0.9911 0.7354
6 Te 0.7557 0.5114 0.2646
7 Ca 0.0000 0.5000 0.0000
8 Te 0.2532 0.0089 0.2646
9 Tm 0.5000 0.0000 0.5000
10 Ca 0.5000 0.5000 0.0000
11 Tm 0.5000 0.5000 0.5000
12 Te 0.7557 0.0089 0.2646
13 Te 0.7468 0.9911 0.7354
14 Te 0.2443 0.4886 0.7354
15 Te 0.2532 0.5065 0.2597